VASP calculation (PBE) on a geometry-optimized BeReSi2 structure.

Calculated values
- Fermi-level density of states (states/eV per atom) = 0.527
- total energy (eV/atom) = -6.574

abc: 4.0468 4.0468 3.0544
angles: 90.00 90.00 90.00
Positions (direct):
Re: 0.0000 0.5000 0.5000
Si: 0.0000 0.0000 0.0000
Si: 0.5000 0.5000 0.0000
Be: 0.5000 0.0000 0.5000

***

VASP calculation (PBE) on a geometry-optimized GaSbS3 structure.

Calculated values
- ΔE to the lowest computed polymorph (eV/atom) = 0.000
- Fermi-level density of states (states/eV per atom) = 0.000
- total energy (eV/atom) = -4.302

abc: 6.2439 8.6600 10.9965
angles: 116.88 90.00 90.00
Positions (direct):
Ga: 0.7563 0.9085 0.4449
Ga: 0.2437 0.0915 0.5551
Ga: 0.2563 0.0915 0.0551
Ga: 0.7437 0.9085 0.9449
Sb: 0.2787 0.7248 0.7438
Sb: 0.7213 0.2752 0.2562
Sb: 0.7787 0.2752 0.7562
Sb: 0.2213 0.7248 0.2438
S: 0.9280 0.9702 0.6492
S: 0.0720 0.0298 0.3508
S: 0.4280 0.0298 0.8508
S: 0.5720 0.9702 0.1492
S: 0.3984 0.8080 0.4764
S: 0.6016 0.1920 0.5236
S: 0.8984 0.1920 0.0236
S: 0.1016 0.8080 0.9764
S: 0.8568 0.6396 0.2769
S: 0.1432 0.3604 0.7231
S: 0.3568 0.3604 0.2231
S: 0.6432 0.6396 0.7769

***

VASP calculation (PBE) on a geometry-optimized Pu5Pd2Au structure.

Calculated values
- ΔH_f (0 K) (eV/f.u.) = -0.98
- Fermi-level density of states (states/eV per atom) = 2.939
- total energy (eV/atom) = -10.788

abc: 2.9608 7.8610 7.8610
angles: 70.25 79.15 79.15
Last column: magnetic moment on the atom in μB.
Positions (direct):
Pu: 0.0000 0.5000 0.5000  -4.26
Pu: 0.6306 0.5821 0.1568  5.14
Pu: 0.3694 0.4179 0.8432  5.14
Pu: 0.3694 0.8432 0.4179  5.14
Pu: 0.6306 0.1568 0.5821  5.14
Pd: 0.7162 0.7838 0.7838  0.01
Pd: 0.2838 0.2162 0.2162  0.01
Au: 0.0000 0.0000 0.0000  0.03

***

- Among the records above, which one has the highest total energy?
  GaSbS3

***

- Which formula does entry 1 have?
  BeReSi2

***

Copy entry 1 word for word.
VASP calculation (PBE) on a geometry-optimized BeReSi2 structure.

Calculated values
- Fermi-level density of states (states/eV per atom) = 0.527
- total energy (eV/atom) = -6.574

abc: 4.0468 4.0468 3.0544
angles: 90.00 90.00 90.00
Positions (direct):
Re: 0.0000 0.5000 0.5000
Si: 0.0000 0.0000 0.0000
Si: 0.5000 0.5000 0.0000
Be: 0.5000 0.0000 0.5000